(1)
Computed, not measured: a relaxed structure of KLuHf at the PBE-GGA level of DFT.

Computed properties:
SG: F-43m (216)
VASP energy (eV per atom): -3.358

a b c (Å): 5.2997 5.2997 5.2997
angles (deg): 60.00 60.00 60.00
Atoms (fractional coordinates):
1 K 0.0000 0.0000 0.0000
2 Lu 0.2500 0.2500 0.2500
3 Hf 0.7500 0.7500 0.7500

=====

(2)
Computed, not measured: a relaxed structure of TmFePd at the PBE-GGA level of DFT.

Computed properties:
Energy of formation (eV/atom): 0.441
SG: F-43m (216)
VASP energy (eV per atom): -5.545

a b c (Å): 4.4580 4.4580 4.4580
angles (deg): 60.00 60.00 60.00
Atoms (fractional coordinates):
1 Tm 0.0000 0.0000 0.0000
2 Fe 0.7500 0.7500 0.7500
3 Pd 0.2500 0.2500 0.2500

=====

(3)
Computed, not measured: a relaxed structure of YHoAu at the PBE-GGA level of DFT.

Computed properties:
Energy of formation (eV/atom): -0.639
SG: Pnma (62)
VASP energy (eV per atom): -5.409

a b c (Å): 7.0660 4.9550 8.9527
angles (deg): 90.00 90.00 90.00
Atoms (fractional coordinates):
1 Y 0.1494 0.2500 0.0813
2 Y 0.3506 0.7500 0.5813
3 Y 0.6494 0.2500 0.4187
4 Y 0.8506 0.7500 0.9187
5 Ho 0.0136 0.2500 0.6759
6 Ho 0.4864 0.7500 0.1759
7 Ho 0.5136 0.2500 0.8241
8 Ho 0.9864 0.7500 0.3241
9 Au 0.2386 0.2500 0.4014
10 Au 0.2614 0.7500 0.9014
11 Au 0.7386 0.2500 0.0986
12 Au 0.7614 0.7500 0.5986

=====

(4)
Computed, not measured: a relaxed structure of SrSb2PtAu at the PBE-GGA level of DFT.

Computed properties:
SG: P2_1/m (11)
VASP energy (eV per atom): -4.553

a b c (Å): 4.8017 4.7771 10.8412
angles (deg): 90.00 90.93 90.00
Atoms (fractional coordinates):
1 Sr 0.2430 0.2500 0.2479
2 Sr 0.7570 0.7500 0.7521
3 Sb 0.2506 0.7500 0.4995
4 Sb 0.2737 0.2500 0.8603
5 Sb 0.7263 0.7500 0.1397
6 Sb 0.7494 0.2500 0.5005
7 Pt 0.2530 0.2500 0.6180
8 Pt 0.7470 0.7500 0.3820
9 Au 0.2223 0.7500 0.9998
10 Au 0.7777 0.2500 0.0002